# 1
Material: NaCuAuO2
Method: DFT, GGA-PBE
State: optimized geometry

Geometry as POSCAR:
```
NaCuAuO2
1.0
2.974 -5.679 0.000
2.974 5.679 0.000
0.000 0.000 4.773
Na Cu Au O
2 2 2 4
Cartesian
2.974 2.840 3.896
2.974 -2.840 0.878
1.487 0.000 0.000
4.461 0.000 0.000
0.000 0.000 2.387
2.974 0.000 2.387
2.974 4.488 0.682
2.974 1.192 0.682
2.974 -1.192 4.091
2.974 -4.488 4.091
```

Results
formation energy (no corrections)	-0.543	eV/atom


# 2
Material: Na5CuAuO2
Method: DFT, GGA-PBE
State: optimized geometry

Geometry as POSCAR:
```
Na5CuAuO2
1.0
4.676 0.000 0.000
0.000 4.676 0.000
0.000 0.000 8.436
Na Cu Au O
5 1 1 2
Cartesian
0.000 0.000 0.000
0.000 2.338 2.216
0.000 2.338 6.220
2.338 0.000 2.216
2.338 0.000 6.220
0.000 0.000 4.218
2.338 2.338 0.000
0.000 0.000 2.392
0.000 0.000 6.044
```

Results
formation energy (no corrections)	-0.817	eV/atom


# 3
Material: Na2Cu2PdAu5
Method: DFT, GGA-PBE
State: optimized geometry

Geometry as POSCAR:
```
Na2Cu2PdAu5
1.0
9.621 0.000 0.000
0.000 9.621 0.000
0.000 0.000 3.931
Na Cu Pd Au
4 4 2 10
Cartesian
1.689 3.122 0.000
3.122 7.932 0.000
6.499 1.689 0.000
7.932 6.499 0.000
1.197 6.008 0.000
3.613 1.197 0.000
6.008 8.424 0.000
8.424 3.613 0.000
0.000 0.000 0.000
4.811 4.811 0.000
0.000 4.811 1.966
0.631 7.662 1.966
1.959 0.631 1.966
2.852 5.441 1.966
4.180 2.852 1.966
4.811 0.000 1.966
5.441 6.769 1.966
6.769 4.180 1.966
7.662 8.990 1.966
8.990 1.959 1.966
```

Results
raw total energy	-68.01	eV for the cell shown


# 4
Material: Na2CuPd2Au5
Method: DFT, GGA-PBE
State: optimized geometry

Geometry as POSCAR:
```
Na2CuPd2Au5
1.0
11.217 0.000 0.000
0.000 11.217 0.000
0.000 0.000 3.102
Na Cu Pd Au
4 2 4 10
Cartesian
1.920 3.688 0.000
3.688 9.297 0.000
7.529 1.920 0.000
9.297 7.529 0.000
0.000 0.000 0.000
5.609 5.609 0.000
1.572 7.181 0.000
4.037 1.572 0.000
7.181 9.646 0.000
9.646 4.037 0.000
0.000 5.609 1.551
0.572 9.180 1.551
2.038 0.572 1.551
3.571 6.180 1.551
5.037 3.571 1.551
5.609 0.000 1.551
6.180 7.646 1.551
7.646 5.037 1.551
9.180 10.646 1.551
10.646 2.038 1.551
```

Results
raw total energy	-69.79	eV for the cell shown